DFT (PBE) results for crystalline YMgAl4 at its relaxed geometry. Values from VASP.

The structure in Quantum ESPRESSO input format:
```
&SYSTEM
  ibrav = 0, nat = 6, ntyp = 3
/
ATOMIC_SPECIES
Y 88.91 Y.upf
Mg 24.30 Mg.upf
Al 26.98 Al.upf
CELL_PARAMETERS angstrom
0.000 3.896 3.896
3.896 0.000 3.896
3.896 3.896 0.000
ATOMIC_POSITIONS crystal
Y 0.000 0.000 0.000
Mg 0.250 0.250 0.250
Al 0.125 0.625 0.625
Al 0.625 0.125 0.625
Al 0.625 0.625 0.125
Al 0.625 0.625 0.625
```

Properties
Total DFT energy (no corrections) in eV per atom: -4.079
Calculated volume in Å³/atom: 19.71
E_form in eV/f.u.: -1.445
Relative energy among the computed polymorphs in meV per atom: 28